[1]
Material: SrRhBr2
Method: DFT, PBE
State: relaxed

The total moment comes out at 0.38 μB per formula unit. The value obtained for the energy above the lowest structure with this stoichiometry is 261 meV/atom. As for the density of states at the Fermi level: 9.2 states/eV per cell. The total energy is -3.703 eV/atom.

abc: 7.016 8.069 5.347
angles: 90.00 130.84 90.00
Space group C2/m (No. 12)
Symmetry-distinct sites (fractional):
Sr: 0.000 0.000 0.000 [2 per cell]
Rh: 0.000 0.500 0.000 [2 per cell]
Br: 0.250 0.250 0.500 [4 per cell]

=====

[2]
Material: Ce2Sc2Bi2C
Method: DFT, PBE
State: relaxed

The total moment comes out at 3.37 μB per formula unit. As for the density of states at the Fermi level: 30.8 states/eV per cell. The total energy is -6.650 eV/atom.

abc: 4.638 4.638 16.271
angles: 90.00 90.00 90.00
Space group I4/mmm (No. 139)
Symmetry-distinct sites (fractional):
Ce: 0.000 0.000 0.158 [4 per cell]
Sc: 0.000 0.500 0.000 [4 per cell]
Bi: 0.000 0.000 0.366 [4 per cell]
C: 0.000 0.000 0.000 [2 per cell]

=====

[3]
Material: Tb7Bi3C2
Method: DFT, PBE
State: relaxed

The total moment comes out at 0.00 μB per formula unit. As for the density of states at the Fermi level: 13.7 states/eV per cell. The total energy is -5.785 eV/atom.

abc: 4.947 25.253 4.884
angles: 90.00 90.00 90.00
Space group Cmmm (No. 65)
Symmetry-distinct sites (fractional):
Tb: 0.000 0.000 0.000 [2 per cell]
Tb: 0.000 0.096 0.500 [4 per cell]
Tb: 0.000 0.195 0.000 [4 per cell]
Tb: 0.000 0.404 0.000 [4 per cell]
Bi: 0.000 0.311 0.500 [4 per cell]
Bi: 0.000 0.500 0.500 [2 per cell]
C: 0.000 0.101 0.000 [4 per cell]

=====

[4]
Material: La2TiZnO6
Method: DFT, PBE
State: relaxed

The total moment comes out at 0.00 μB per formula unit. The value obtained for the energy above the lowest structure with this stoichiometry is 0 meV/atom. As for the density of states at the Fermi level: 0.0 states/eV per cell. The total energy is -7.857 eV/atom.

abc: 5.595 5.711 9.721
angles: 90.00 125.11 90.00
Space group P2_1/c (No. 14)
Symmetry-distinct sites (fractional):
La: 0.241 0.046 0.251 [4 per cell]
Ti: 0.000 0.000 0.500 [2 per cell]
Zn: 0.500 0.000 0.000 [2 per cell]
O: 0.147 0.217 0.951 [4 per cell]
O: 0.238 0.697 0.955 [4 per cell]
O: 0.329 0.027 0.740 [4 per cell]

=====

[5]
Material: Y4TmSc
Method: DFT, PBE
State: relaxed

The total moment comes out at 0.00 μB per formula unit. The value obtained for the energy above the lowest structure with this stoichiometry is 619 meV/atom. As for the density of states at the Fermi level: 19.1 states/eV per cell. The total energy is -5.448 eV/atom.

abc: 11.268 11.289 3.400
angles: 90.00 90.00 90.00
Space group Cmmm (No. 65)
Symmetry-distinct sites (fractional):
Y: 0.000 0.232 0.000 [4 per cell]
Y: 0.246 0.500 0.500 [4 per cell]
Tm: 0.000 0.500 0.000 [2 per cell]
Sc: 0.000 0.000 0.500 [2 per cell]

=====

[6]
Material: SmHoGaNi
Method: DFT, PBE
State: relaxed

The total moment comes out at 0.00 μB per formula unit. As for the density of states at the Fermi level: 7.9 states/eV per cell. The total energy is -4.992 eV/atom.

abc: 4.339 3.783 10.958
angles: 90.00 90.00 90.00
Space group Amm2 (No. 38)
Symmetry-distinct sites (fractional):
Sm: 0.000 0.000 0.000 [2 per cell]
Ho: 0.500 0.000 0.285 [2 per cell]
Ga: 0.500 0.000 0.578 [2 per cell]
Ni: 0.000 0.000 0.713 [2 per cell]

=====

[7]
Material: LaTh2Sc
Method: DFT, PBE
State: relaxed

The total moment comes out at 0.00 μB per formula unit. The value obtained for the energy above the lowest structure with this stoichiometry is 145 meV/atom. As for the density of states at the Fermi level: 30.6 states/eV per cell. The total energy is -6.334 eV/atom.

abc: 7.925 7.925 7.925
angles: 90.00 90.00 90.00
Space group Fm-3m (No. 225)
Symmetry-distinct sites (fractional):
La: 0.000 0.000 0.000 [4 per cell]
Th: 0.250 0.250 0.250 [8 per cell]
Sc: 0.000 0.000 0.500 [4 per cell]

=====

[8]
Material: Nd3PbN2
Method: DFT, PBE
State: relaxed

The total moment comes out at 0.00 μB per formula unit. The value obtained for the energy above the lowest structure with this stoichiometry is 5 meV/atom. As for the density of states at the Fermi level: 6.6 states/eV per cell. The total energy is -6.713 eV/atom.

abc: 11.655 7.953 6.305
angles: 90.00 90.84 90.00
Space group C2/c (No. 15)
Symmetry-distinct sites (fractional):
Nd: 0.000 0.114 0.250 [4 per cell]
Nd: 0.243 0.138 0.753 [8 per cell]
Pb: 0.000 0.422 0.750 [4 per cell]
N: 0.141 0.002 0.002 [8 per cell]

=====

[9]
Material: BeHg3W
Method: DFT, PBE
State: relaxed

The total moment comes out at 3.23 μB per formula unit. The value obtained for the energy above the lowest structure with this stoichiometry is 302 meV/atom. As for the density of states at the Fermi level: 3.8 states/eV per cell. The total energy is -1.953 eV/atom.

abc: 5.452 5.452 5.452
angles: 90.00 90.00 90.00
Space group Pm-3m (No. 221)
Symmetry-distinct sites (fractional):
Be: 0.000 0.000 0.000 [1 per cell]
Hg: 0.000 0.500 0.500 [3 per cell]
W: 0.500 0.500 0.500 [1 per cell]

=====

[10]
Material: K2SnHg6
Method: DFT, PBE
State: relaxed

The total moment comes out at 0.00 μB per formula unit. As for the density of states at the Fermi level: 7.3 states/eV per cell. The total energy is -1.097 eV/atom.

abc: 12.161 7.044 6.372
angles: 90.00 90.28 90.00
Space group C2/m (No. 12)
Symmetry-distinct sites (fractional):
K: 0.168 0.000 0.337 [4 per cell]
Sn: 0.000 0.500 0.500 [2 per cell]
Hg: 0.091 0.225 0.833 [8 per cell]
Hg: 0.182 0.500 0.165 [4 per cell]

=====

[11]
Material: Sm4GaPt3
Method: DFT, PBE
State: relaxed

The total moment comes out at 0.00 μB per formula unit. As for the density of states at the Fermi level: 5.0 states/eV per cell. The total energy is -6.047 eV/atom.

abc: 3.908 4.473 10.992
angles: 90.00 90.00 90.00
Space group Pmm2 (No. 25)
Symmetry-distinct sites (fractional):
Sm: 0.000 0.000 0.000 [1 per cell]
Sm: 0.000 0.500 0.269 [1 per cell]
Sm: 0.500 0.000 0.486 [1 per cell]
Sm: 0.500 0.500 0.772 [1 per cell]
Ga: 0.000 0.000 0.707 [1 per cell]
Pt: 0.000 0.500 0.553 [1 per cell]
Pt: 0.500 0.000 0.219 [1 per cell]
Pt: 0.500 0.500 0.044 [1 per cell]

=====

[12]
Material: BaCo2N
Method: DFT, PBE
State: relaxed

The total moment comes out at 1.03 μB per formula unit. As for the density of states at the Fermi level: 5.3 states/eV per cell. The total energy is -6.124 eV/atom.

abc: 5.871 5.871 8.291
angles: 90.00 90.00 90.00
Space group I4_1/amd (No. 141, origin choice 2)
Symmetry-distinct sites (fractional):
Ba: 0.000 0.250 0.375 [4 per cell]
Co: 0.000 0.000 0.000 [8 per cell]
N: 0.000 0.250 0.875 [4 per cell]

=====

Please write out number 7 again, unchanged.
Material: LaTh2Sc
Method: DFT, PBE
State: relaxed

The total moment comes out at 0.00 μB per formula unit. The value obtained for the energy above the lowest structure with this stoichiometry is 145 meV/atom. As for the density of states at the Fermi level: 30.6 states/eV per cell. The total energy is -6.334 eV/atom.

abc: 7.925 7.925 7.925
angles: 90.00 90.00 90.00
Space group Fm-3m (No. 225)
Symmetry-distinct sites (fractional):
La: 0.000 0.000 0.000 [4 per cell]
Th: 0.250 0.250 0.250 [8 per cell]
Sc: 0.000 0.000 0.500 [4 per cell]